The following is a PBE calculation of an optimized crystal structure of TbPr2Hg, from Alexandria.

Computed properties:
M_tot   0.001 μB per cell
E_form   -0.07 eV per atom
Mass density   8.73 g/cm3
E   -3.70 eV/atom
ΔE to the lowest computed polymorph   0.63 eV per formula unit

abc: 5.5671 5.5671 5.5671
angles: 60.00 60.00 60.00
Closest atoms and distances in Å follow each position.
Positions (direct):
Tb  0.0000  0.0000  0.0000  8 Pr 3.41
Pr  0.2500  0.2500  0.2500  4 Hg 3.41, 4 Tb 3.41
Pr  0.7500  0.7500  0.7500  4 Hg 3.41, 4 Tb 3.41
Hg  0.5000  0.5000  0.5000  8 Pr 3.41